Entry 1:
# Si2NiSb (meta-GGA SCAN, single point on PBEsol structure)
# Fermi-level density of states in states/eV/f.u.: 2.40
# Uncorrected formation energy in meV per atom: 636.0
# M_tot in μB per atom: 0.000
data_Si2NiSb
_cell_length_a 6.350
_cell_length_b 6.350
_cell_length_c 6.350
_cell_angle_alpha 90.00
_cell_angle_beta 90.00
_cell_angle_gamma 90.00
_symmetry_space_group_name_H-M 'F -4 3 m'
_symmetry_Int_Tables_number 216
_symmetry_space_group_name_Hall 'F -4 2 3'
loop_
_atom_site_label
_atom_site_type_symbol
_atom_site_fract_x
_atom_site_fract_y
_atom_site_fract_z
Si1 Si 0.000 0.000 0.000
Si2 Si 0.250 0.250 0.250
Ni1 Ni 0.000 0.000 0.500
Sb1 Sb 0.250 0.250 0.750

Entry 2:
# Ti2SiNiSb (meta-GGA SCAN, single point on PBEsol structure)
# Fermi-level density of states in states/eV/f.u.: 3.65
# Uncorrected formation energy in meV per atom: 948.5
# M_tot in μB per atom: 0.278
data_Ti2SiNiSb
_cell_length_a 4.953
_cell_length_b 4.953
_cell_length_c 4.452
_cell_angle_alpha 90.00
_cell_angle_beta 90.00
_cell_angle_gamma 90.00
_symmetry_space_group_name_H-M 'P 4/m m m'
_symmetry_Int_Tables_number 123
_symmetry_space_group_name_Hall '-P 4 2'
loop_
_atom_site_label
_atom_site_type_symbol
_atom_site_fract_x
_atom_site_fract_y
_atom_site_fract_z
Ti1 Ti 0.000 0.500 0.000
Si1 Si 0.000 0.000 0.500
Ni1 Ni 0.500 0.500 0.500
Sb1 Sb 0.500 0.500 0.000

Entry 3:
# Ni4Sn3Sb9 (meta-GGA SCAN, single point on PBEsol structure)
# Fermi-level density of states in states/eV/f.u.: 4.95
# Uncorrected formation energy in meV per atom: -155.6
# M_tot in μB per atom: 0.000
data_Ni4Sn3Sb9
_cell_length_a 12.771
_cell_length_b 9.156
_cell_length_c 9.021
_cell_angle_alpha 90.00
_cell_angle_beta 134.91
_cell_angle_gamma 90.00
_symmetry_space_group_name_H-M 'C 1 m 1'
_symmetry_Int_Tables_number 8
loop_
_symmetry_equiv_pos_as_xyz
'x,y,z'
'x,-y,z'
'x+1/2,y+1/2,z'
'x+1/2,-y+1/2,z'
loop_
_atom_site_label
_atom_site_type_symbol
_atom_site_fract_x
_atom_site_fract_y
_atom_site_fract_z
Ni1 Ni 0.000 0.247 0.000
Ni2 Ni 0.498 0.250 0.501
Sn1 Sn 0.084 0.000 0.676
Sn2 Sn 0.415 0.000 0.006
Sn3 Sn 0.417 0.000 0.326
Sb1 Sb 0.088 0.000 0.996
Sb2 Sb 0.088 0.165 0.340
Sb3 Sb 0.248 0.340 0.833
Sb4 Sb 0.249 0.341 0.169
Sb5 Sb 0.408 0.164 0.659

Entry 4:
# Ni3SnSb (meta-GGA SCAN, single point on PBEsol structure)
# Fermi-level density of states in states/eV/f.u.: 3.80
# Uncorrected formation energy in meV per atom: 750.4
# M_tot in μB per atom: 0.000
data_Ni3SnSb
_cell_length_a 4.606
_cell_length_b 4.606
_cell_length_c 4.606
_cell_angle_alpha 90.00
_cell_angle_beta 90.00
_cell_angle_gamma 90.00
_symmetry_space_group_name_H-M 'P m -3 m'
_symmetry_Int_Tables_number 221
_symmetry_space_group_name_Hall '-P 4 2 3'
loop_
_atom_site_label
_atom_site_type_symbol
_atom_site_fract_x
_atom_site_fract_y
_atom_site_fract_z
Ni1 Ni 0.000 0.000 0.500
Sn1 Sn 0.500 0.500 0.500
Sb1 Sb 0.000 0.000 0.000

Entry 5:
# SrNiSb (meta-GGA SCAN, single point on PBEsol structure)
# Fermi-level density of states in states/eV/f.u.: 2.44
# Uncorrected formation energy in meV per atom: 17.7
# M_tot in μB per atom: 0.000
data_SrNiSb
_cell_length_a 3.719
_cell_length_b 4.596
_cell_length_c 8.795
_cell_angle_alpha 90.00
_cell_angle_beta 90.00
_cell_angle_gamma 90.00
_symmetry_space_group_name_H-M 'I m m 2'
_symmetry_Int_Tables_number 44
loop_
_symmetry_equiv_pos_as_xyz
'x,y,z'
'-x,-y,z'
'-x,y,z'
'x,-y,z'
'x+1/2,y+1/2,z+1/2'
'-x+1/2,-y+1/2,z+1/2'
'-x+1/2,y+1/2,z+1/2'
'x+1/2,-y+1/2,z+1/2'
loop_
_atom_site_label
_atom_site_type_symbol
_atom_site_fract_x
_atom_site_fract_y
_atom_site_fract_z
Sr1 Sr 0.000 0.000 0.000
Ni1 Ni 0.000 0.000 0.627
Sb1 Sb 0.000 0.000 0.346

Entry 6:
# Ta2NiSb (meta-GGA SCAN, single point on PBEsol structure)
# Fermi-level density of states in states/eV/f.u.: 3.06
# Uncorrected formation energy in meV per atom: 15.4
# M_tot in μB per atom: 0.000
data_Ta2NiSb
_cell_length_a 3.424
_cell_length_b 3.424
_cell_length_c 5.761
_cell_angle_alpha 90.00
_cell_angle_beta 90.00
_cell_angle_gamma 90.00
_symmetry_space_group_name_H-M 'P 4 m m'
_symmetry_Int_Tables_number 99
loop_
_symmetry_equiv_pos_as_xyz
'x,y,z'
'-y,x,z'
'-x,-y,z'
'y,-x,z'
'-x,y,z'
'y,x,z'
'x,-y,z'
'-y,-x,z'
loop_
_atom_site_label
_atom_site_type_symbol
_atom_site_fract_x
_atom_site_fract_y
_atom_site_fract_z
Ta1 Ta 0.000 0.000 0.000
Ta2 Ta 0.500 0.500 0.246
Ni1 Ni 0.000 0.000 0.478
Sb1 Sb 0.500 0.500 0.726